1.
{
  "formula": "V5Ge3",
  "functional": "GGA-PBE",
  "state": "relaxed",
  "dos_ef_per_ev_cell": 14.2,
  "total_magnetization_mub_per_fu": 0.0,
  "space_group": "I4/mcm",
  "lattice": [[4.836, 0.000, 0.000], [2.418, 6.770, 0.000], [2.418, 0.000, 6.770]],
  "species": ["Ge", "Ge", "Ge", "V", "V", "Ge", "V", "V", "Ge", "V", "V", "V", "V", "V", "Ge", "V"],
  "fractional_positions": [[0.750, 0.000, 0.000], [0.334, 0.832, 0.500], [0.250, 0.000, 0.000], [0.425, 0.304, 0.847], [0.750, 0.500, 0.500], [0.666, 0.168, 0.500], [0.771, 0.304, 0.153], [0.271, 0.153, 0.304], [0.166, 0.500, 0.168], [0.229, 0.696, 0.847], [0.250, 0.500, 0.500], [0.925, 0.847, 0.304], [0.575, 0.696, 0.153], [0.075, 0.153, 0.696], [0.834, 0.500, 0.832], [0.729, 0.847, 0.696]]
}


2.
{
  "formula": "V5Ge3",
  "functional": "GGA-PBE",
  "state": "relaxed",
  "dos_ef_per_ev_cell": 14.9,
  "total_magnetization_mub_per_fu": 1.1,
  "space_group": "P6_3/mcm",
  "lattice": [[7.263, 0.000, 0.000], [-3.632, 6.290, 0.000], [0.000, 0.000, 4.935]],
  "species": ["Ge", "V", "V", "Ge", "Ge", "Ge", "V", "V", "V", "V", "Ge", "V", "V", "Ge", "V", "V"],
  "fractional_positions": [[0.000, 0.607, 0.250], [0.667, 0.333, 0.000], [0.759, 0.759, 0.250], [0.000, 0.393, 0.750], [0.393, 0.000, 0.750], [0.607, 0.607, 0.750], [0.000, 0.241, 0.250], [0.333, 0.667, 0.000], [0.667, 0.333, 0.500], [0.333, 0.667, 0.500], [0.393, 0.393, 0.250], [0.241, 0.000, 0.250], [0.241, 0.241, 0.750], [0.607, 0.000, 0.250], [0.000, 0.759, 0.750], [0.759, 0.000, 0.750]]
}


Preferred: 1; penalty for the next structure: 55 meV per atom.